*w*
The following is a PBE calculation of a relaxed structure of AgRuAu, from the Alexandria database.

Unit cell a=4.4053 b=4.4053 c=4.4053 alpha=60.00 beta=60.00 gamma=60.00
Element x y z (fractional)
1 Ag 0.5000 0.5000 0.5000
2 Au 0.7500 0.7500 0.7500
3 Ru 0.0000 0.0000 0.0000

Output
- Symmetry: F-43m, No. 216
- N(E_F): 0.3022 states/eV/atom

---

*x*
The following is a PBE calculation of a relaxed structure of AgRuAu, from the Alexandria database.

Unit cell a=4.9852 b=4.9852 c=4.9852 alpha=147.48 beta=130.54 gamma=60.45
Element x y z (fractional)
1 Ag 0.0019 0.0019 0.0000
2 Au 0.3300 0.3300 0.0000
3 Ru 0.6681 0.6681 0.0000

Output
- Symmetry: Imm2, No. 44
- N(E_F): 1.1266 states/eV/atom

---

*y*
The following is a PBE calculation of a relaxed structure of AgRuAu, from the Alexandria database.

Unit cell a=6.7699 b=6.7699 c=6.7699 alpha=156.40 beta=156.40 gamma=33.63
Element x y z (fractional)
1 Ag 0.0036 0.0036 0.0000
2 Au 0.3287 0.3287 0.0000
3 Ru 0.6677 0.6677 0.0000

Output
- Symmetry: I4mm, No. 107
- N(E_F): 1.0552 states/eV/atom

---

Here is how they stack up, most stable first: *y*, *x*, *w*.

---

*w*
The following is a PBE calculation of a relaxed structure of Ag3AuS, from the Alexandria database.

Unit cell a=5.1313 b=5.1313 c=5.1313 alpha=90.00 beta=90.00 gamma=90.00
Element x y z (fractional)
1 S 0.5000 0.5000 0.5000
2 Au 0.0000 0.0000 0.0000
3 Ag 0.0000 0.5000 0.0000
4 Ag 0.0000 0.0000 0.5000
5 Ag 0.5000 0.0000 0.0000

Output
- Symmetry: Pm-3m, No. 221
- N(E_F): 0.0000 states/eV/atom

---

*x*
The following is a PBE calculation of a relaxed structure of Ag3AuS, from the Alexandria database.

Unit cell a=4.8240 b=4.8240 c=4.8240 alpha=90.00 beta=90.00 gamma=90.00
Element x y z (fractional)
1 S 0.0000 0.0000 0.0000
2 Au 0.5000 0.5000 0.5000
3 Ag 0.0000 0.5000 0.0000
4 Ag 0.0000 0.0000 0.5000
5 Ag 0.5000 0.0000 0.0000

Output
- Symmetry: Pm-3m, No. 221
- N(E_F): 0.0002 states/eV/atom

---

Here is how they stack up, most stable first: *x*, *w*.

---

*w*
The following is a PBE calculation of a relaxed structure of Ag3AuS2, from the Alexandria database.

Unit cell a=5.2878 b=5.2936 c=5.3030 alpha=92.79 beta=87.12 gamma=87.02
Element x y z (fractional)
1 Ag 0.7542 0.6666 0.0865
2 Ag 0.3541 0.0656 0.2891
3 Ag 0.9537 0.2669 0.6875
4 Au 0.3544 0.6670 0.6874
5 S 0.0885 0.9333 0.9541
6 S 0.6201 0.4006 0.4205

Output
- Symmetry: C2, No. 5

---

*x*
The following is a PBE calculation of a relaxed structure of Ag3AuS2, from the Alexandria database.

Unit cell a=9.8453 b=9.8453 c=9.8453 alpha=90.00 beta=90.00 gamma=90.00
Element x y z (fractional)
1 Ag 0.2500 0.3838 0.0000
2 Ag 0.5000 0.7500 0.8838
3 Ag 0.7500 0.1162 0.0000
4 Ag 0.0000 0.2500 0.3838
5 Ag 0.2500 0.6162 0.5000
6 Ag 0.7500 0.8838 0.5000
7 Ag 0.5000 0.2500 0.6162
8 Ag 0.8838 0.5000 0.7500
9 Ag 0.6162 0.5000 0.2500
10 Ag 0.1162 0.0000 0.7500
11 Ag 0.7500 0.6338 0.0000
12 Ag 0.7500 0.3662 0.5000
13 Ag 0.5000 0.2500 0.1338
14 Ag 0.5000 0.7500 0.3662
15 Ag 0.8662 0.0000 0.2500
16 Ag 0.3662 0.5000 0.7500
17 Ag 0.2500 0.1338 0.5000
18 Ag 0.0000 0.7500 0.6338
19 Ag 0.0000 0.2500 0.8662
20 Ag 0.1338 0.5000 0.2500
21 Ag 0.6338 0.0000 0.7500
22 Ag 0.3838 0.0000 0.2500
23 Ag 0.0000 0.7500 0.1162
24 Ag 0.2500 0.8662 0.0000
25 Au 0.6253 0.6253 0.6253
26 Au 0.8753 0.6247 0.3753
27 Au 0.6247 0.3753 0.8753
28 Au 0.3753 0.8753 0.6247
29 Au 0.1253 0.8747 0.3747
30 Au 0.8747 0.3747 0.1253
31 Au 0.3747 0.1253 0.8747
32 Au 0.1247 0.1247 0.1247
33 S 0.7643 0.7643 0.7643
34 S 0.0143 0.4857 0.5143
35 S 0.4857 0.5143 0.0143
36 S 0.5143 0.0143 0.4857
37 S 0.2643 0.7357 0.2357
38 S 0.7357 0.2357 0.2643
39 S 0.2357 0.2643 0.7357
40 S 0.9857 0.9857 0.9857
41 S 0.7638 0.2362 0.7362
42 S 0.2362 0.7362 0.7638
43 S 0.9862 0.0138 0.5138
44 S 0.0138 0.5138 0.9862
45 S 0.5138 0.9862 0.0138
46 S 0.2638 0.2638 0.2638
47 S 0.4862 0.4862 0.4862
48 S 0.7362 0.7638 0.2362

Output
- Symmetry: P4_132, No. 213
- N(E_F): 0.0114 states/eV/atom

---

Here is how they stack up, most stable first: *w*, *x*.

---

*w*
The following is a PBE calculation of a relaxed structure of Ag2SbAu2, from the Alexandria database.

Unit cell a=3.8855 b=3.8855 c=7.5212 alpha=75.03 beta=75.03 gamma=90.00
Element x y z (fractional)
1 Sb 0.0000 0.0000 0.0000
2 Au 0.4010 0.4010 0.1979
3 Au 0.5990 0.5990 0.8021
4 Ag 0.7500 0.2500 0.5000
5 Ag 0.2500 0.7500 0.5000

Output
- Symmetry: I4/mmm, No. 139
- N(E_F): 0.3396 states/eV/atom

---

*x*
The following is a PBE calculation of a relaxed structure of Ag2SbAu2, from the Alexandria database.

Unit cell a=8.2537 b=8.2537 c=2.9679 alpha=90.00 beta=90.00 gamma=90.00
Element x y z (fractional)
1 Sb 0.0000 0.0000 0.0000
2 Sb 0.5000 0.5000 0.0000
3 Au 0.1721 0.6721 0.5000
4 Au 0.6721 0.8279 0.5000
5 Au 0.8279 0.3279 0.5000
6 Au 0.3279 0.1721 0.5000
7 Ag 0.3759 0.8759 0.0000
8 Ag 0.8759 0.6241 0.0000
9 Ag 0.6241 0.1241 0.0000
10 Ag 0.1241 0.3759 0.0000

Output
- Symmetry: P4/mbm, No. 127
- N(E_F): 0.2390 states/eV/atom

---

*y*
The following is a PBE calculation of a relaxed structure of Ag2SbAu2, from the Alexandria database.

Unit cell a=3.0488 b=3.0488 c=12.7019 alpha=83.11 beta=83.11 gamma=60.00
Element x y z (fractional)
1 Ag 0.5361 0.5361 0.3918
2 Ag 0.4639 0.4639 0.6082
3 Sb 0.0000 0.0000 0.0000
4 Au 0.2644 0.2644 0.2068
5 Au 0.7356 0.7356 0.7932

Output
- Symmetry: R-3m, No. 166
- N(E_F): 0.3688 states/eV/atom

---

*z*
The following is a PBE calculation of a relaxed structure of Ag2SbAu2, from the Alexandria database.

Unit cell a=3.8371 b=3.8371 c=7.7776 alpha=75.72 beta=75.72 gamma=90.00
Element x y z (fractional)
1 Sb 0.0000 0.0000 0.0000
2 Au 0.7500 0.2500 0.5000
3 Au 0.2500 0.7500 0.5000
4 Ag 0.4022 0.4022 0.1956
5 Ag 0.5978 0.5978 0.8044

Output
- Symmetry: I4/mmm, No. 139
- N(E_F): 0.3884 states/eV/atom

---

Here is how they stack up, most stable first: *x*, *w*, *z*, *y*.

---

*w*
The following is a PBE calculation of a relaxed structure of Ag2SbAu8, from the Alexandria database.

Unit cell a=4.1349 b=4.1349 c=12.5103 alpha=90.00 beta=90.00 gamma=90.00
Element x y z (fractional)
1 Ag 0.0000 0.0000 0.3317
2 Ag 0.0000 0.0000 0.6683
3 Sb 0.0000 0.0000 0.0000
4 Au 0.0000 0.5000 0.5000
5 Au 0.5000 0.0000 0.5000
6 Au 0.5000 0.5000 0.3328
7 Au 0.5000 0.5000 0.6672
8 Au 0.0000 0.5000 0.1623
9 Au 0.5000 0.0000 0.1623
10 Au 0.0000 0.5000 0.8377
11 Au 0.5000 0.0000 0.8377

Output
- Symmetry: P4/mmm, No. 123
- N(E_F): 0.5013 states/eV/atom

---

*x*
The following is a PBE calculation of a relaxed structure of Ag2SbAu8, from the Alexandria database.

Unit cell a=5.0143 b=7.2733 c=7.2733 alpha=62.13 beta=78.36 gamma=78.36
Element x y z (fractional)
1 Ag 0.5248 0.8732 0.8732
2 Ag 0.4752 0.1268 0.1268
3 Sb 0.0000 0.0000 0.0000
4 Au 0.2145 0.3804 0.7543
5 Au 0.7855 0.2457 0.6196
6 Au 0.0806 0.7673 0.7673
7 Au 0.9194 0.2327 0.2327
8 Au 0.2145 0.7543 0.3804
9 Au 0.7855 0.6196 0.2457
10 Au 0.6591 0.6439 0.6439
11 Au 0.3409 0.3561 0.3561

Output
- Symmetry: C2/m, No. 12
- N(E_F): 0.2492 states/eV/atom

---

Here is how they stack up, most stable first: *w*, *x*.

---

*w*
The following is a PBE calculation of a relaxed structure of AgSb2Au, from the Alexandria database.

Unit cell a=4.3883 b=4.3883 c=6.4687 alpha=70.17 beta=70.17 gamma=60.00
Element x y z (fractional)
1 Ag 0.5013 0.5013 0.4960
2 Sb 0.0789 0.0789 0.7632
3 Sb 0.2533 0.2533 0.2400
4 Au 0.6664 0.6664 0.0007

Output
- Symmetry: R3m, No. 160
- N(E_F): 0.4425 states/eV/atom

---

*x*
The following is a PBE calculation of a relaxed structure of AgSb2Au, from the Alexandria database.

Unit cell a=6.4853 b=6.4853 c=6.4853 alpha=145.05 beta=141.46 gamma=53.00
Element x y z (fractional)
1 Sb 0.0698 0.0698 0.0000
2 Sb 0.4302 0.4302 0.0000
3 Au 0.2500 0.7500 0.5000
4 Ag 0.7500 0.2500 0.5000

Output
- Symmetry: Immm, No. 71
- N(E_F): 0.5599 states/eV/atom

---

*y*
The following is a PBE calculation of a relaxed structure of AgSb2Au, from the Alexandria database.

Unit cell a=5.0798 b=5.0798 c=5.0798 alpha=60.00 beta=60.00 gamma=60.00
Element x y z (fractional)
1 Sb 0.0000 0.0000 0.0000
2 Sb 0.2500 0.2500 0.2500
3 Au 0.7500 0.7500 0.7500
4 Ag 0.5000 0.5000 0.5000

Output
- Symmetry: F-43m, No. 216
- N(E_F): 0.3599 states/eV/atom

---

*z*
The following is a PBE calculation of a relaxed structure of AgSb2Au, from the Alexandria database.

Unit cell a=5.6538 b=5.6538 c=5.6538 alpha=134.34 beta=134.34 gamma=66.55
Element x y z (fractional)
1 Sb 0.0000 0.0000 0.0000
2 Sb 0.2500 0.7500 0.5000
3 Au 0.7500 0.2500 0.5000
4 Ag 0.5000 0.5000 0.0000

Output
- Symmetry: I-4m2, No. 119
- N(E_F): 0.3653 states/eV/atom

---

Here is how they stack up, most stable first: *w*, *x*, *z*, *y*.

---

*w*
The following is a PBE calculation of a relaxed structure of AgSb2Au, from the Alexandria database.

Unit cell a=3.4134 b=4.1563 c=6.3814 alpha=90.00 beta=90.00 gamma=90.00
Element x y z (fractional)
1 Sb 0.0000 0.0000 0.9956
2 Sb 0.0000 0.0000 0.5044
3 Au 0.5000 0.5000 0.7500
4 Ag 0.5000 0.5000 0.2500

Output
- Symmetry: Pmmm, No. 47
- N(E_F): 0.2971 states/eV/atom

---

*x*
The following is a PBE calculation of a relaxed structure of AgSb2Au, from the Alexandria database.

Unit cell a=4.6274 b=4.6274 c=6.8759 alpha=84.24 beta=84.24 gamma=39.87
Element x y z (fractional)
1 Sb 0.9797 0.9797 0.0472
2 Sb 0.7687 0.7687 0.7062
3 Au 0.2431 0.2431 0.2626
4 Ag 0.5085 0.5085 0.4841

Output
- Symmetry: Cm, No. 8
- N(E_F): 0.4121 states/eV/atom

---

Here is how they stack up, most stable first: *x*, *w*.

---

*w*
The following is a PBE calculation of a relaxed structure of AgSb2Au, from the Alexandria database.

Unit cell a=3.0920 b=4.0857 c=7.3631 alpha=90.00 beta=90.00 gamma=90.00
Element x y z (fractional)
1 Sb 0.0000 0.0000 0.9402
2 Sb 0.5000 0.5000 0.3077
3 Au 0.5000 0.5000 0.7326
4 Ag 0.0000 0.0000 0.5195

Output
- Symmetry: Pmm2, No. 25
- N(E_F): 0.4304 states/eV/atom

---

*x*
The following is a PBE calculation of a relaxed structure of AgSb2Au, from the Alexandria database.

Unit cell a=3.8436 b=3.0481 c=8.1115 alpha=90.08 beta=90.00 gamma=90.00
Element x y z (fractional)
1 Sb 0.0000 0.7494 0.0032
2 Sb 0.0000 0.7506 0.4968
3 Au 0.5000 0.7500 0.7500
4 Ag 0.5000 0.2500 0.2500

Output
- Symmetry: P2/m, No. 10
- N(E_F): 0.3304 states/eV/atom

---

*y*
The following is a PBE calculation of a relaxed structure of AgSb2Au, from the Alexandria database.

Unit cell a=3.7952 b=4.3907 c=6.1587 alpha=63.93 beta=90.00 gamma=90.00
Element x y z (fractional)
1 Sb 0.0000 0.0395 0.9158
2 Sb 0.5000 0.2095 0.3313
3 Au 0.5000 0.6163 0.8164
4 Ag 0.0000 0.6346 0.4364

Output
- Symmetry: Pm, No. 6
- N(E_F): 0.3850 states/eV/atom

---

Here is how they stack up, most stable first: *y*, *x*, *w*.

---

*w*
The following is a PBE calculation of a relaxed structure of AgSb2Au, from the Alexandria database.

Unit cell a=7.4893 b=4.7689 c=4.0491 alpha=91.25 beta=55.37 gamma=122.95
Element x y z (fractional)
1 Sb 0.0000 0.0000 0.0000
2 Sb 0.5000 0.0000 0.5000
3 Au 0.5000 0.5000 0.0000
4 Ag 0.0000 0.5000 0.5000

Output
- Symmetry: C2/m, No. 12
- N(E_F): 0.2842 states/eV/atom

---

*x*
The following is a PBE calculation of a relaxed structure of AgSb2Au, from the Alexandria database.

Unit cell a=5.0409 b=5.0409 c=5.0409 alpha=60.00 beta=60.00 gamma=60.00
Element x y z (fractional)
1 Sb 0.2500 0.2500 0.2500
2 Sb 0.7500 0.7500 0.7500
3 Au 0.5000 0.5000 0.5000
4 Ag 0.0000 0.0000 0.0000

Output
- Symmetry: Fm-3m, No. 225
- N(E_F): 0.3977 states/eV/atom

---

*y*
The following is a PBE calculation of a relaxed structure of AgSb2Au, from the Alexandria database.

Unit cell a=8.4237 b=8.4237 c=8.4237 alpha=24.95 beta=24.95 gamma=24.95
Element x y z (fractional)
1 Sb 0.0024 0.0024 0.0024
2 Sb 0.4976 0.4976 0.4976
3 Au 0.7500 0.7500 0.7500
4 Ag 0.2500 0.2500 0.2500

Output
- Symmetry: R-3m, No. 166
- N(E_F): 0.5214 states/eV/atom

---

*z*
The following is a PBE calculation of a relaxed structure of AgSb2Au, from the Alexandria database.

Unit cell a=4.0832 b=4.0832 c=7.0619 alpha=72.46 beta=72.46 gamma=61.06
Element x y z (fractional)
1 Sb 0.9978 0.9978 0.0138
2 Sb 0.5022 0.5022 0.4862
3 Au 0.2500 0.2500 0.2500
4 Ag 0.7500 0.7500 0.7500

Output
- Symmetry: C2/m, No. 12
- N(E_F): 0.3827 states/eV/atom

---

Here is how they stack up, most stable first: *z*, *y*, *w*, *x*.